{
  "formula": "MnTcIr2",
  "functional": "GGA-PBE",
  "state": "relaxed",
  "formation_energy_ev_per_atom": 0.234,
  "total_energy_ha_per_atom": -0.334,
  "density_kg_m3": 15373,
  "volume_a3_per_cell": 58.0,
  "e_above_lowest_polymorph_kj_per_mol_atoms": 39.8,
  "magmom_total_mub_per_atom": 0.88,
  "lattice": [[4.3460, 0.0000, 0.0000], [2.1730, 3.7638, 0.0000], [2.1730, 1.2546, 3.5485]],
  "species": ["Ir", "Ir", "Mn", "Tc"],
  "frac_coords": [[0.0000, 0.0000, 0.0000], [0.2500, 0.2500, 0.2500], [0.5000, 0.5000, 0.5000], [0.7500, 0.7500, 0.7500]]
}